A relaxed structure of Mg2ScNi2, computed with GGA-PBE.

Cell: 7.517 7.517 2.846 Å, 90.00 90.00 90.00°
Positions (direct):
Mg 0.127 0.373 0.000
Mg 0.373 0.873 0.000
Mg 0.627 0.127 0.000
Mg 0.873 0.627 0.000
Sc 0.000 0.000 0.000
Sc 0.500 0.500 0.000
Ni 0.173 0.673 0.500
Ni 0.327 0.173 0.500
Ni 0.673 0.827 0.500
Ni 0.827 0.327 0.500

Summary:
Symmetry: P4/mbm
Crystal system: tetragonal

=====

A relaxed structure of MgScNi5, computed with GGA-PBE.

Cell: 7.856 4.721 10.102 Å, 90.00 90.00 90.00°
Positions (direct):
Mg 0.133 0.250 0.139
Mg 0.367 0.750 0.639
Mg 0.633 0.250 0.361
Mg 0.867 0.750 0.861
Sc 0.247 0.250 0.441
Sc 0.253 0.750 0.941
Sc 0.747 0.250 0.059
Sc 0.753 0.750 0.559
Ni 0.048 0.250 0.900
Ni 0.070 0.503 0.690
Ni 0.070 0.997 0.690
Ni 0.087 0.750 0.483
Ni 0.188 0.750 0.259
Ni 0.312 0.250 0.759
Ni 0.413 0.250 0.983
Ni 0.430 0.003 0.190
Ni 0.430 0.497 0.190
Ni 0.452 0.750 0.400
Ni 0.548 0.250 0.600
Ni 0.570 0.503 0.810
Ni 0.570 0.997 0.810
Ni 0.587 0.750 0.017
Ni 0.688 0.750 0.241
Ni 0.812 0.250 0.741
Ni 0.913 0.250 0.517
Ni 0.930 0.003 0.310
Ni 0.930 0.497 0.310
Ni 0.952 0.750 0.100

Summary:
Symmetry: Pnma
Crystal system: orthorhombic

=====

A relaxed structure of Mg2ScNi2, computed with GGA-PBE.

Cell: 6.594 6.594 3.902 Å, 90.00 90.00 90.00°
Positions (direct):
Mg 0.164 0.336 0.000
Mg 0.336 0.836 0.000
Mg 0.664 0.164 0.000
Mg 0.836 0.664 0.000
Sc 0.000 0.000 0.500
Sc 0.500 0.500 0.500
Ni 0.128 0.628 0.500
Ni 0.372 0.128 0.500
Ni 0.628 0.872 0.500
Ni 0.872 0.372 0.500

Summary:
Symmetry: P4/mbm
Crystal system: tetragonal

=====

A relaxed structure of MgSc5Ni4, computed with GGA-PBE.

Cell: 3.191 3.191 17.113 Å, 90.00 90.00 90.00°
Positions (direct):
Mg 0.000 0.000 0.000
Sc 0.500 0.500 0.134
Sc 0.500 0.500 0.315
Sc 0.500 0.500 0.500
Sc 0.500 0.500 0.685
Sc 0.500 0.500 0.866
Ni 0.000 0.000 0.220
Ni 0.000 0.000 0.407
Ni 0.000 0.000 0.593
Ni 0.000 0.000 0.780

Summary:
Symmetry: P4/mmm
Crystal system: tetragonal

=====

A relaxed structure of Mg2ScNi2, computed with GGA-PBE.

Cell: 3.857 3.857 11.576 Å, 90.00 90.00 90.00°
Positions (direct):
Mg 0.000 0.500 0.250
Mg 0.000 0.500 0.750
Mg 0.500 0.000 0.250
Mg 0.500 0.000 0.750
Sc 0.000 0.000 0.000
Sc 0.500 0.500 0.500
Ni 0.000 0.000 0.403
Ni 0.000 0.000 0.597
Ni 0.500 0.500 0.097
Ni 0.500 0.500 0.903

Summary:
Symmetry: I4/mmm
Crystal system: tetragonal

=====

A relaxed structure of MgSc3Ni, computed with GGA-PBE.

Cell: 8.135 3.457 8.562 Å, 90.00 115.25 90.00°
Positions (direct):
Mg 0.180 0.250 0.111
Mg 0.820 0.750 0.889
Sc 0.140 0.750 0.780
Sc 0.293 0.750 0.464
Sc 0.484 0.250 0.830
Sc 0.516 0.750 0.170
Sc 0.707 0.250 0.536
Sc 0.860 0.250 0.220
Ni 0.124 0.250 0.559
Ni 0.876 0.750 0.441

Summary:
Symmetry: P2_1/m
Crystal system: monoclinic

=====

We obtain formation energy from the elements values of -47; -191; -99; -396; -54; -75 kJ/mol of formula units for the records listed above, in that order.
We obtain magnetization values of 0.420; 0.931; 0.000; 0.000; 0.000; 0.005 μB/cell for the records listed above, in that order.
We obtain raw total energy values of -4.3149; -5.5445; -4.4225; -6.0485; -4.3290; -5.4288 eV/atom for the records listed above, in that order.